1.
This record from the Alexandria database describes a relaxed ErAl crystal. The functional is PBE-GGA.

```
16
Lattice="5.812 0.000 0.000 0.000 11.347 0.000 0.000 0.000 5.569" Properties=species:S:1:pos:R:3 pbc="T T T"
Er 0.591 1.914 1.392
Er 0.591 3.759 4.176
Er 1.973 0.192 4.176
Er 1.973 5.481 1.392
Er 3.839 5.866 4.176
Er 3.839 11.155 1.392
Er 5.221 7.588 1.392
Er 5.221 9.433 4.176
Al 0.923 6.775 4.176
Al 0.923 10.246 1.392
Al 2.500 8.510 0.000
Al 2.500 8.510 2.784
Al 3.312 2.837 0.000
Al 3.312 2.837 2.784
Al 4.889 1.101 4.176
Al 4.889 4.572 1.392
```

Properties
Formation energy from the elements ... -416 meV/atom
DOS(E_F) ... 1.476 states/eV/f.u.
Crystal system ... orthorhombic

2.
This record from the Alexandria database describes a relaxed Eu2ErAl crystal. The functional is PBE-GGA.

```
4
Lattice="1.770 1.022 12.420 -1.770 1.022 12.420 0.000 -2.044 12.420" Properties=species:S:1:pos:R:3 pbc="T T T"
Eu 0.000 0.000 3.184
Eu 0.000 0.000 34.076
Er 0.000 0.000 18.630
Al 0.000 0.000 0.000
```

Properties
Formation energy from the elements ... 349 meV/atom
DOS(E_F) ... 4.836 states/eV/f.u.
Crystal system ... trigonal

3.
This record from the Alexandria database describes a relaxed Eu2ErAl crystal. The functional is PBE-GGA.

```
4
Lattice="4.816 0.000 0.000 0.000 4.816 0.000 0.000 0.000 5.087" Properties=species:S:1:pos:R:3 pbc="T T T"
Eu 0.000 2.408 0.000
Eu 2.408 0.000 0.000
Er 0.000 0.000 2.544
Al 2.408 2.408 2.544
```

Properties
Formation energy from the elements ... -53 meV/atom
DOS(E_F) ... 3.765 states/eV/f.u.
Crystal system ... tetragonal

4.
This record from the Alexandria database describes a relaxed EuErAl2 crystal. The functional is PBE-GGA.

```
4
Lattice="0.000 3.662 3.662 3.662 0.000 3.662 3.662 3.662 0.000" Properties=species:S:1:pos:R:3 pbc="T T T"
Eu 0.000 0.000 0.000
Er 3.662 3.662 3.662
Al 1.831 1.831 1.831
Al 5.492 5.492 5.492
```

Properties
Formation energy from the elements ... -281 meV/atom
DOS(E_F) ... 4.033 states/eV/f.u.
Crystal system ... cubic

5.
This record from the Alexandria database describes a relaxed EuEr2Al crystal. The functional is PBE-GGA.

```
4
Lattice="3.537 0.000 0.000 0.000 3.537 0.000 0.000 0.000 9.292" Properties=species:S:1:pos:R:3 pbc="T T T"
Eu 0.000 0.000 0.000
Er 1.769 1.769 2.813
Er 1.769 1.769 6.479
Al 0.000 0.000 4.646
```

Properties
Formation energy from the elements ... -152 meV/atom
DOS(E_F) ... 2.680 states/eV/f.u.
Crystal system ... tetragonal

6.
This record from the Alexandria database describes a relaxed Eu2ErAl crystal. The functional is PBE-GGA.

```
4
Lattice="3.724 0.000 0.000 0.000 3.724 0.000 0.000 0.000 8.985" Properties=species:S:1:pos:R:3 pbc="T T T"
Eu 0.000 0.000 1.893
Eu 0.000 0.000 7.093
Er 1.862 1.862 4.493
Al 1.862 1.862 0.000
```

Properties
Formation energy from the elements ... -23 meV/atom
DOS(E_F) ... 4.061 states/eV/f.u.
Crystal system ... tetragonal

7.
This record from the Alexandria database describes a relaxed EuErAl4 crystal. The functional is PBE-GGA.

```
6
Lattice="0.000 3.967 3.967 3.967 0.000 3.967 3.967 3.967 0.000" Properties=species:S:1:pos:R:3 pbc="T T T"
Eu 0.000 0.000 0.000
Er 1.984 1.984 1.984
Al 4.958 2.977 2.977
Al 2.977 4.958 2.977
Al 2.977 2.977 4.958
Al 4.958 4.958 4.958
```

Properties
Formation energy from the elements ... -432 meV/atom
DOS(E_F) ... 5.927 states/eV/f.u.
Crystal system ... cubic

8.
This record from the Alexandria database describes a relaxed EuEr2Al crystal. The functional is PBE-GGA.

```
4
Lattice="4.849 0.000 0.000 0.000 4.849 0.000 0.000 0.000 4.700" Properties=species:S:1:pos:R:3 pbc="T T T"
Eu 0.000 0.000 0.000
Er 0.000 2.424 2.350
Er 2.424 0.000 2.350
Al 2.424 2.424 0.000
```

Properties
Formation energy from the elements ... -98 meV/atom
DOS(E_F) ... 3.605 states/eV/f.u.
Crystal system ... tetragonal

9.
This record from the Alexandria database describes a relaxed EuEr2Al crystal. The functional is PBE-GGA.

```
4
Lattice="0.000 3.794 3.794 3.794 0.000 3.794 3.794 3.794 0.000" Properties=species:S:1:pos:R:3 pbc="T T T"
Eu 0.000 0.000 0.000
Er 1.897 1.897 1.897
Er 5.692 5.692 5.692
Al 3.794 3.794 3.794
```

Properties
Formation energy from the elements ... -14 meV/atom
DOS(E_F) ... 4.280 states/eV/f.u.
Crystal system ... cubic

10.
This record from the Alexandria database describes a relaxed EuErAl2 crystal. The functional is PBE-GGA.

```
4
Lattice="3.678 0.000 0.000 0.000 3.678 0.000 0.000 0.000 7.334" Properties=species:S:1:pos:R:3 pbc="T T T"
Eu 0.000 0.000 0.000
Er 0.000 0.000 3.667
Al 1.839 1.839 2.022
Al 1.839 1.839 5.312
```

Properties
Formation energy from the elements ... -317 meV/atom
DOS(E_F) ... 5.844 states/eV/f.u.
Crystal system ... tetragonal

11.
This record from the Alexandria database describes a relaxed EuHoErAl crystal. The functional is PBE-GGA.

```
4
Lattice="0.000 3.800 3.800 3.800 0.000 3.800 3.800 3.800 0.000" Properties=species:S:1:pos:R:3 pbc="T T T"
Eu 0.000 0.000 0.000
Ho 5.700 5.700 5.700
Er 1.900 1.900 1.900
Al 3.800 3.800 3.800
```

Properties
Formation energy from the elements ... -17 meV/atom
DOS(E_F) ... 4.285 states/eV/f.u.
Crystal system ... cubic

12.
This record from the Alexandria database describes a relaxed EuErAlIn crystal. The functional is PBE-GGA.

```
4
Lattice="0.000 3.753 3.753 3.753 0.000 3.753 3.753 3.753 0.000" Properties=species:S:1:pos:R:3 pbc="T T T"
Eu 0.000 0.000 0.000
Er 3.753 3.753 3.753
Al 5.630 5.630 5.630
In 1.877 1.877 1.877
```

Properties
Formation energy from the elements ... -340 meV/atom
DOS(E_F) ... 5.643 states/eV/f.u.
Crystal system ... cubic

Q: What is the formation energy from the elements in the second record?
A: 349 meV/atom

Q: Look up the formation energy from the elements of the tenth one.
A: -317 meV/atom

Q: Which of these has the lowest DOS(E_F)?
A: ErAl